DFT (PBE) results for a relaxed PaGa2Co2 crystal.

Calculated values
E: -126.40 eV/cell
Density: 10.17 g/cm3
E_form: -8.484 kcal/mol of atoms

Lattice parameters (Å, degrees): 4.0353 4.0353 19.5841 90.00 90.00 90.00
Space group I4/mmm (No. 139)
Inequivalent atoms, fractional coordinates:
Pa: 0.0000 0.0000 0.1332 [4 per cell]
Ga: 0.0000 0.0000 0.3143 [4 per cell]
Ga: 0.0000 0.5000 0.0000 [4 per cell]
Co: 0.0000 0.0000 0.4327 [4 per cell]
Co: 0.0000 0.5000 0.2500 [4 per cell]